DFT (PBE) results for a relaxed structure of DyUTc2.

The calculation puts the total DFT energy (no corrections) at -0.3423 Ha/atom. The formation enthalpy at 0 K comes out at -0.16 eV per atom. The value obtained for the excess energy over the best structure of this formula in the dataset is 0.0 meV per atom.

The structure belongs to space group P4/mmm (No. 123); the cell edges are 3.364, 3.364 and 6.989 Å and the angles 90.00°, 90.00° and 90.00°. The distinct sites, in fractional coordinates, are Dy at (0.000, 0.000, 0.000), U at (0.000, 0.000, 0.500) and Tc at (0.500, 0.500, 0.293).